# 1
Computed, not measured: an optimized crystal structure of Hg2BiSe2 at the PBE level of DFT.

a b c (Å): 5.5253 5.5253 8.8932
angles (deg): 90.00 90.00 90.00
Last column: nearest neighbours and their distance in Å.
Space group I4/mmm (No. 139)
Asymmetric unit:
Hg 0.0000 0.0000 0.1519 [4 per cell]  1 Hg 2.70, 4 Se 2.90
Bi 0.0000 0.0000 0.5000 [2 per cell]  2 Hg 3.10
Se 0.0000 0.5000 0.2500 [4 per cell]  4 Hg 2.90

Formation energy without anion corrections ... 187 meV/atom

# 2
Computed, not measured: an optimized crystal structure of HgBi3Se6 at the PBE level of DFT.

a b c (Å): 11.9007 14.7696 6.8728
angles (deg): 90.00 90.00 90.00
Last column: nearest neighbours and their distance in Å.
Space group Cmc2_1 (No. 36)
Asymmetric unit:
Hg 0.0000 0.1990 0.0000 [4 per cell]  4 Se 2.60-2.75
Bi 0.0000 0.3968 0.5965 [4 per cell]  7 Se 2.93-3.10
Bi 0.1790 0.1161 0.5670 [8 per cell]  5 Se 2.84-3.01
Se 0.0000 0.0363 0.8085 [4 per cell]  1 Hg 2.74, 2 Bi 2.95
Se 0.0000 0.2209 0.3755 [4 per cell]  1 Hg 2.60
Se 0.1623 0.4807 0.3314 [8 per cell]  4 Bi 2.93-3.19
Se 0.1736 0.2768 0.7948 [8 per cell]  1 Hg 2.75, 3 Bi 2.84-3.04

Formation energy without anion corrections ... -198 meV/atom

# 3
Computed, not measured: an optimized crystal structure of HgBi3Se at the PBE level of DFT.

a b c (Å): 5.6890 5.6890 5.6890
angles (deg): 90.00 90.00 90.00
Last column: nearest neighbours and their distance in Å.
Space group Pm-3m (No. 221)
Asymmetric unit:
Hg 0.0000 0.0000 0.0000 [1 per cell]  6 Bi 2.84
Bi 0.0000 0.0000 0.5000 [3 per cell]  2 Hg 2.84
Se 0.5000 0.5000 0.5000 [1 per cell]  12 Bi 4.02

Formation energy without anion corrections ... 793 meV/atom

# 4
Computed, not measured: an optimized crystal structure of Hg2BiSe2 at the PBE level of DFT.

a b c (Å): 3.9971 3.9971 17.2464
angles (deg): 90.00 90.00 90.00
Last column: nearest neighbours and their distance in Å.
Space group I4/mmm (No. 139)
Asymmetric unit:
Hg 0.0000 0.5000 0.2500 [4 per cell]  4 Hg 2.83
Bi 0.0000 0.0000 0.0000 [2 per cell]  8 Se 3.20
Se 0.0000 0.0000 0.4128 [4 per cell]  1 Se 3.01, 4 Bi 3.20

Formation energy without anion corrections ... 77 meV/atom

# 5
Computed, not measured: an optimized crystal structure of Hg2BiSe2 at the PBE level of DFT.

a b c (Å): 8.4574 8.4574 4.0570
angles (deg): 90.00 90.00 90.00
Last column: nearest neighbours and their distance in Å.
Space group P4/mbm (No. 127)
Asymmetric unit:
Hg 0.1116 0.3884 0.0000 [4 per cell]  1 Hg 2.67, 2 Se 2.74
Bi 0.0000 0.0000 0.5000 [2 per cell]  4 Se 3.00
Se 0.2340 0.7340 0.5000 [4 per cell]  2 Hg 2.74, 2 Bi 3.00

Formation energy without anion corrections ... -44 meV/atom

# 6
Computed, not measured: an optimized crystal structure of Tb4HgBiSe2 at the PBE level of DFT.

a b c (Å): 7.1151 4.1764 7.7169
angles (deg): 90.00 108.23 90.00
Last column: nearest neighbours and their distance in Å.
Space group P2/m (No. 10)
Asymmetric unit:
Tb 0.2395 0.0000 0.2291 [2 per cell]  3 Se 2.92-2.93, 1 Hg 3.08, 2 Bi 3.12
Tb 0.2519 0.5000 0.7710 [2 per cell]  3 Se 2.88-2.94, 2 Hg 3.10, 1 Bi 3.13
Hg 0.0000 0.0000 0.5000 [1 per cell]  6 Tb 3.08-3.10
Bi 0.5000 0.5000 0.5000 [1 per cell]  6 Tb 3.12-3.13
Se 0.0000 0.5000 0.0000 [1 per cell]  6 Tb 2.88-2.92
Se 0.5000 0.0000 0.0000 [1 per cell]  6 Tb 2.93-2.94

Formation energy without anion corrections ... -1183 meV/atom

Computed total magnetization, in the same sequence as the records: 0.000; 0.000; 0.000; 0.000; 0.000; 0.000 μB/f.u..